The following is a GGA-PBE calculation of a relaxed PrHo2Ag3Se6 crystal, from the Alexandria database.

Lattice parameters (Å, degrees): 8.4050 8.4050 9.8118 104.82 104.82 29.26
Atoms (fractional coordinates):
Pr: 0.0000 0.0000 0.0000
Ho: 0.3358 0.3358 0.6611
Ho: 0.6642 0.6642 0.3389
Ag: 0.0000 0.0000 0.5000
Ag: 0.3291 0.3291 0.0442
Ag: 0.6709 0.6709 0.9558
Se: 0.1586 0.1586 0.5282
Se: 0.1897 0.1897 0.1472
Se: 0.4874 0.4874 0.2097
Se: 0.5126 0.5126 0.7903
Se: 0.8103 0.8103 0.8528
Se: 0.8414 0.8414 0.4718

Values from the calculation:
The value obtained for the total energy is -4.79 eV/atom.

=====

The following is a GGA-PBE calculation of a relaxed Pr2HoAgSe5 crystal, from the Alexandria database.

Lattice parameters (Å, degrees): 9.0515 9.0515 12.5513 90.00 90.00 153.37
Atoms (fractional coordinates):
Pr: 0.1102 0.8898 0.5000
Pr: 0.1253 0.8747 0.1201
Pr: 0.8747 0.1253 0.6201
Pr: 0.8898 0.1102 0.0000
Ho: 0.1956 0.8044 0.8231
Ho: 0.8044 0.1956 0.3231
Ag: 0.4425 0.5575 0.2730
Ag: 0.5575 0.4425 0.7730
Se: 0.0465 0.9535 0.8924
Se: 0.2862 0.7138 0.4801
Se: 0.3055 0.6945 0.1605
Se: 0.3583 0.6417 0.8142
Se: 0.4977 0.5023 0.5867
Se: 0.5023 0.4977 0.0867
Se: 0.6417 0.3583 0.3142
Se: 0.6945 0.3055 0.6605
Se: 0.7138 0.2862 0.9801
Se: 0.9535 0.0465 0.3924

Values from the calculation:
The value obtained for the total energy is -5.38 eV/atom.

=====

The following is a GGA-PBE calculation of a relaxed PrHoSiAg crystal, from the Alexandria database.

Lattice parameters (Å, degrees): 5.1467 5.1467 5.1467 60.00 60.00 60.00
Atoms (fractional coordinates):
Pr: 0.0000 0.0000 0.0000
Ho: 0.5000 0.5000 0.5000
Si: 0.7500 0.7500 0.7500
Ag: 0.2500 0.2500 0.2500

Values from the calculation:
The value obtained for the total energy is -4.82 eV/atom.

=====

The following is a GGA-PBE calculation of a relaxed PrHoAgSn crystal, from the Alexandria database.

Lattice parameters (Å, degrees): 5.3294 5.3294 5.3294 60.00 60.00 60.00
Atoms (fractional coordinates):
Pr: 0.0000 0.0000 0.0000
Ho: 0.5000 0.5000 0.5000
Ag: 0.2500 0.2500 0.2500
Sn: 0.7500 0.7500 0.7500

Values from the calculation:
The value obtained for the total energy is -4.55 eV/atom.

=====

The following is a GGA-PBE calculation of a relaxed PrHo2Ag2Sn2 crystal, from the Alexandria database.

Lattice parameters (Å, degrees): 9.1735 9.1735 9.1735 30.90 30.90 30.90
Atoms (fractional coordinates):
Pr: 0.0000 0.0000 0.0000
Ho: 0.1347 0.1347 0.1347
Ho: 0.8653 0.8653 0.8653
Ag: 0.4399 0.4399 0.4399
Ag: 0.5601 0.5601 0.5601
Sn: 0.2623 0.2623 0.2623
Sn: 0.7377 0.7377 0.7377

Values from the calculation:
The value obtained for the total energy is -4.40 eV/atom.

=====

The following is a GGA-PBE calculation of a relaxed TbPrHoAg crystal, from the Alexandria database.

Lattice parameters (Å, degrees): 3.6408 3.6408 8.7750 90.00 90.00 90.00
Atoms (fractional coordinates):
Tb: 0.0000 0.0000 0.0000
Pr: 0.5000 0.5000 0.2948
Ho: 0.0000 0.0000 0.5877
Ag: 0.5000 0.5000 0.7891

Values from the calculation:
For the polymorph energy (0 for the lowest one), the calculation gives 0 meV/atom. The value obtained for the total energy is -4.34 eV/atom.

=====

The following is a GGA-PBE calculation of a relaxed TbPrHoAg crystal, from the Alexandria database.

Lattice parameters (Å, degrees): 5.4520 5.4520 5.4520 60.00 60.00 60.00
Atoms (fractional coordinates):
Tb: 0.0000 0.0000 0.0000
Pr: 0.5000 0.5000 0.5000
Ho: 0.2500 0.2500 0.2500
Ag: 0.7500 0.7500 0.7500

Values from the calculation:
For the polymorph energy (0 for the lowest one), the calculation gives 198 meV/atom. The value obtained for the total energy is -4.14 eV/atom.

=====

The following is a GGA-PBE calculation of a relaxed PrHoTcAg crystal, from the Alexandria database.

Lattice parameters (Å, degrees): 5.0613 5.0613 5.0613 60.00 60.00 60.00
Atoms (fractional coordinates):
Pr: 0.0000 0.0000 0.0000
Ho: 0.5000 0.5000 0.5000
Tc: 0.2500 0.2500 0.2500
Ag: 0.7500 0.7500 0.7500

Values from the calculation:
The value obtained for the total energy is -5.67 eV/atom.